First-principles (PBE) data for Cd2TcPb after structural relaxation, as listed in Alexandria via LeMat-Bulk. Values from VASP.

As for the energy relative to the elements: 0.4159 eV/atom. Its size of the total moment is 0.00 μB per cell.

Cell and atoms, written as Quantum ESPRESSO input:
```
&SYSTEM
  ibrav = 0, nat = 4, ntyp = 3
/
ATOMIC_SPECIES
Cd 112.41 Cd.upf
Pb 207.20 Pb.upf
Tc 98.00 Tc.upf
ATOMIC_POSITIONS crystal
Cd 0.5000 0.5000 0.2306
Cd 0.0000 0.0000 0.9933
Pb 0.0000 0.0000 0.5285
Tc 0.5000 0.5000 0.7476
CELL_PARAMETERS angstrom
-0.2864 -3.2355 1.6525
2.3700 1.0910 2.5468
-4.7102 2.1789 3.4499
```

***

First-principles (PBE) data for Cd2TcPb after structural relaxation, as listed in Alexandria via LeMat-Bulk. Values from VASP.

As for the energy relative to the elements: 0.4082 eV/atom. Its size of the total moment is 1.88 μB per cell.

Cell and atoms, written as Quantum ESPRESSO input:
```
&SYSTEM
  ibrav = 0, nat = 4, ntyp = 3
/
ATOMIC_SPECIES
Pb 207.20 Pb.upf
Tc 98.00 Tc.upf
Cd 112.41 Cd.upf
ATOMIC_POSITIONS crystal
Pb 0.5000 0.5000 0.2500
Tc 0.5000 0.5000 0.7500
Cd 0.0000 0.0000 0.5465
Cd 0.0000 0.0000 0.9535
CELL_PARAMETERS angstrom
3.1047 -0.0151 0.0000
0.0156 3.1047 0.0000
0.0000 0.0000 9.3132
```

***

First-principles (PBE) data for Cd2TcPb after structural relaxation, as listed in Alexandria via LeMat-Bulk. Values from VASP.

As for the energy relative to the elements: 0.3627 eV/atom. Its size of the total moment is 0.00 μB per cell.

Cell and atoms, written as Quantum ESPRESSO input:
```
&SYSTEM
  ibrav = 0, nat = 4, ntyp = 3
/
ATOMIC_SPECIES
Cd 112.41 Cd.upf
Tc 98.00 Tc.upf
Pb 207.20 Pb.upf
ATOMIC_POSITIONS crystal
Cd 0.9417 0.9417 0.0584
Cd 0.5583 0.5583 0.4416
Tc 0.2500 0.2500 0.2500
Pb 0.7500 0.7500 0.7500
CELL_PARAMETERS angstrom
7.0572 0.3481 -0.3086
6.2549 3.2866 -0.3086
1.6613 0.4536 4.2588
```

***

First-principles (PBE) data for Cd2TcPb after structural relaxation, as listed in Alexandria via LeMat-Bulk. Values from VASP.

As for the energy relative to the elements: 0.5014 eV/atom. Its size of the total moment is 0.00 μB per cell.

Cell and atoms, written as Quantum ESPRESSO input:
```
&SYSTEM
  ibrav = 0, nat = 4, ntyp = 3
/
ATOMIC_SPECIES
Cd 112.41 Cd.upf
Pb 207.20 Pb.upf
Tc 98.00 Tc.upf
ATOMIC_POSITIONS crystal
Cd 0.0000 0.1250 0.9660
Cd 0.5000 0.1255 0.2603
Pb 0.0000 0.6247 0.4929
Tc 0.5000 0.6248 0.7808
CELL_PARAMETERS angstrom
5.0103 0.0000 0.0000
0.0000 3.0267 -0.0150
0.0000 0.0287 5.5100
```

***

First-principles (PBE) data for Cd2TcPb after structural relaxation, as listed in Alexandria via LeMat-Bulk. Values from VASP.

As for the energy relative to the elements: 0.4584 eV/atom. Its size of the total moment is 0.96 μB per cell.

Cell and atoms, written as Quantum ESPRESSO input:
```
&SYSTEM
  ibrav = 0, nat = 4, ntyp = 3
/
ATOMIC_SPECIES
Cd 112.41 Cd.upf
Pb 207.20 Pb.upf
Tc 98.00 Tc.upf
ATOMIC_POSITIONS crystal
Cd 0.7500 0.2500 0.5000
Cd 0.0000 0.0000 0.0000
Pb 0.5000 0.5000 0.0000
Tc 0.2500 0.7500 0.5000
CELL_PARAMETERS angstrom
-3.6158 -1.6496 -3.7156
-3.2152 -4.0002 1.8060
1.4479 4.8626 1.9647
```

***

First-principles (PBE) data for Cd2TcPb after structural relaxation, as listed in Alexandria via LeMat-Bulk. Values from VASP.

As for the energy relative to the elements: 0.5090 eV/atom. Its size of the total moment is 1.54 μB per cell.

Cell and atoms, written as Quantum ESPRESSO input:
```
&SYSTEM
  ibrav = 0, nat = 4, ntyp = 3
/
ATOMIC_SPECIES
Pb 207.20 Pb.upf
Cd 112.41 Cd.upf
Tc 98.00 Tc.upf
ATOMIC_POSITIONS crystal
Pb 0.0000 0.5000 0.5000
Cd 0.5000 0.0000 0.5000
Cd 0.0000 0.0000 0.0000
Tc 0.5000 0.5000 0.0000
CELL_PARAMETERS angstrom
-1.7380 2.1313 5.9892
3.0407 -4.4230 -0.2982
2.2274 1.3975 1.8920
```